1.
First-principles (GGA-PBE) data for crystalline AcCd9Ga2 at its relaxed geometry, as listed in the Alexandria database.

Calculated values
Its formation energy from the elements is -119 meV per atom. As for the mass density: 8.18 g/cm³. Its total energy is -1.653 eV/atom. As for the density of states at the Fermi level: 0.336 states/eV per atom. For the volume, the calculation gives 559.22 Å³/cell.

Cell: 8.0781 9.2488 9.2488 Å, 79.01 64.11 64.11°
Fractional coordinates of all 24 atoms:
Cd  0.6689  0.5782  0.1781
Cd  0.7500  0.5000  0.5000
Ac  0.2500  0.5000  0.5000
Cd  0.1529  0.4218  0.1781
Cd  0.9971  0.6781  0.9218
Cd  0.3247  0.0782  0.6781
Ga  0.8750  0.7500  0.2500
Ga  0.3750  0.7500  0.7500
Cd  0.9971  0.9218  0.6781
Ga  0.8750  0.2500  0.7500
Cd  0.0811  0.3219  0.9218
Cd  0.4253  0.8219  0.4218
Cd  0.7529  0.5782  0.8219
Cd  0.1529  0.1781  0.4218
Cd  0.0811  0.9218  0.3219
Cd  0.7529  0.8219  0.5782
Cd  0.5971  0.3219  0.0782
Cd  0.6689  0.1781  0.5782
Ga  0.8750  0.2500  0.2500
Cd  0.3247  0.6781  0.0782
Cd  0.5971  0.0782  0.3219
Cd  0.0000  0.0000  0.0000
Ac  0.5000  0.0000  0.0000
Cd  0.4253  0.4218  0.8219

***

2.
First-principles (GGA-PBE) data for crystalline CaLaSeN2 at its relaxed geometry, as listed in the Alexandria database.

Calculated values
As for the mass density: 4.41 g/cm³. The excess energy over the best structure of this formula in the dataset comes out at 286 meV/atom. Its total energy is -5.286 eV/atom. As for the density of states at the Fermi level: 0.758 states/eV per atom. The calculation puts the formation energy (no corrections) at 127.0 meV/atom. For the volume, the calculation gives 107.69 Å³/cell.

Cell: 4.4903 4.4903 5.3409 Å, 90.00 90.00 90.00°
Site moments in Bohr magnetons follow the coordinates.
Fractional coordinates of all 5 atoms:
Ca  0.0000  0.0000  0.0000  0.06
La  0.5000  0.5000  0.5000  -0.06
N  0.5000  0.0000  0.0000  0.98
Se  0.0000  0.0000  0.5000  0.14
N  0.0000  0.5000  0.0000  0.98

***

3.
First-principles (GGA-PBE) data for crystalline TeSe2OF at its relaxed geometry, as listed in the Alexandria database.

Calculated values
As for the mass density: 6.19 g/cm³. Its total energy is -3.361 eV/atom. As for the density of states at the Fermi level: 0.534 states/eV per atom. The calculation puts the formation energy (no corrections) at 26.9 meV/atom. For the volume, the calculation gives 85.97 Å³/cell.

Cell: 4.1588 4.9708 4.1588 Å, 90.00 90.00 90.00°
Fractional coordinates of all 5 atoms:
Se  0.0000  0.0000  0.5000
F  0.0000  0.5000  0.0000
Se  0.5000  0.0000  0.0000
O  0.0000  0.0000  0.0000
Te  0.5000  0.5000  0.5000

***

4.
First-principles (GGA-PBE) data for crystalline Zr3Mn at its relaxed geometry, as listed in the Alexandria database.

Calculated values
Its formation energy from the elements is 184 meV per atom. As for the mass density: 6.61 g/cm³. Its total energy is -8.519 eV/atom. As for the density of states at the Fermi level: 0.836 states/eV per atom. For the volume, the calculation gives 82.59 Å³/cell.

Cell: 3.2495 3.2495 9.0318 Å, 90.00 90.00 120.00°
Site moments in Bohr magnetons follow the coordinates.
Fractional coordinates of all 4 atoms:
Zr  0.3333  0.6667  0.2100  -0.21
Mn  0.0000  0.0000  0.0000  1.41
Zr  0.0000  0.0000  0.5000  0.07
Zr  0.3333  0.6667  0.7900  -0.21

***

5.
First-principles (GGA-PBE) data for crystalline CdAuOF2 at its relaxed geometry, as listed in the Alexandria database.

Calculated values
As for the mass density: 7.49 g/cm³. The excess energy over the best structure of this formula in the dataset comes out at 26 meV/atom. Its total energy is -3.113 eV/atom. As for the density of states at the Fermi level: 0.523 states/eV per atom. The calculation puts the formation energy (no corrections) at -534.8 meV/atom. For the volume, the calculation gives 80.52 Å³/cell.

Cell: 4.4178 4.4178 4.1259 Å, 90.00 90.00 90.00°
Fractional coordinates of all 5 atoms:
F  0.0000  0.5000  0.0000
Au  0.0000  0.0000  0.0000
Cd  0.5000  0.5000  0.5000
O  0.0000  0.0000  0.5000
F  0.5000  0.0000  0.0000

***

6.
First-principles (GGA-PBE) data for crystalline K2OsRh at its relaxed geometry, as listed in the Alexandria database.

Calculated values
Its formation energy from the elements is 1917 meV per atom. As for the mass density: 5.99 g/cm³. The excess energy over the best structure of this formula in the dataset comes out at 1335 meV/atom. Its total energy is -3.277 eV/atom. As for the density of states at the Fermi level: 1.976 states/eV per atom. For the volume, the calculation gives 102.98 Å³/cell.

Cell: 5.2613 5.2613 5.2613 Å, 60.00 60.00 60.00°
Site moments in Bohr magnetons follow the coordinates.
Fractional coordinates of all 4 atoms:
K  0.7500  0.7500  0.7500  0.00
Os  0.5000  0.5000  0.5000  2.29
Rh  0.0000  0.0000  0.0000  0.83
K  0.2500  0.2500  0.2500  0.00